1.
Computed, not measured: a crystal of CdIn relaxed with PBEsol at the SCAN level of DFT.

- calculated total energy (eV per atom) = -31.812
- N(E_F) (states/eV/f.u.) = 0.806

abc: 3.1583 3.1583 5.4136
angles: 90.00 90.00 120.00
Space group P-6m2 (No. 187)
Inequivalent atoms, fractional coordinates:
Cd (0.0000, 0.0000, 0.0000)
In (0.3333, 0.6667, 0.5000)



2.
Computed, not measured: a crystal of GeSeN3 relaxed with PBEsol at the SCAN level of DFT.

- ΔE_f (raw) (meV per atom) = 1752
- N(E_F) (states/eV/f.u.) = 3.254

abc: 3.791 3.791 3.791
angles: 90.00 90.00 90.00
Space group Pm-3m (No. 221)
Inequivalent atoms, fractional coordinates:
Ge (0.000, 0.000, 0.000)
Se (0.500, 0.500, 0.500)
N (0.000, 0.000, 0.500)



3.
Computed, not measured: a crystal of TaCu2Ir relaxed with PBEsol at the SCAN level of DFT.

- calculated total energy (eV per atom) = -41.794
- N(E_F) (states/eV/f.u.) = 3.370

abc: 2.876 4.393 8.827
angles: 90.00 90.00 90.00
Space group Cmmm (No. 65)
Inequivalent atoms, fractional coordinates:
Ta (0.000, 0.000, 0.000)
Cu (0.000, 0.500, 0.255)
Ir (0.000, 0.000, 0.500)



4.
Computed, not measured: a crystal of CrFeCo2 relaxed with PBEsol at the SCAN level of DFT.

- calculated total energy (eV per atom) = -17.637
- N(E_F) (states/eV/f.u.) = 3.600

abc: 2.441 3.445 4.905
angles: 90.00 90.00 90.00
Space group Pmmm (No. 47)
Inequivalent atoms, fractional coordinates:
Cr (0.000, 0.000, 0.000)
Fe (0.000, 0.000, 0.500)
Co (0.500, 0.500, 0.250)



5.
Computed, not measured: a crystal of RbLi2Sb2 relaxed with PBEsol at the SCAN level of DFT.

- ΔE_f (raw) (meV per atom) = -519
- N(E_F) (states/eV/f.u.) = 2.324

abc: 4.927 4.927 11.277
angles: 90.00 90.00 90.00
Space group I4/mmm (No. 139)
Inequivalent atoms, fractional coordinates:
Rb (0.000, 0.000, 0.000)
Li (0.000, 0.500, 0.250)
Sb (0.000, 0.000, 0.376)



6.
Computed, not measured: a crystal of PbW3 relaxed with PBEsol at the SCAN level of DFT.

- calculated total energy (eV per atom) = -70.402
- N(E_F) (states/eV/f.u.) = 3.343

abc: 3.101 3.101 7.570
angles: 90.00 90.00 90.00
Space group P4/mmm (No. 123)
Inequivalent atoms, fractional coordinates:
Pb (0.000, 0.000, 0.000)
W (0.000, 0.000, 0.500)
W (0.500, 0.500, 0.295)



7.
Computed, not measured: a crystal of LiAlRh2 relaxed with PBEsol at the SCAN level of DFT.

- calculated total energy (eV per atom) = -20.162
- N(E_F) (states/eV/f.u.) = 2.382

abc: 4.144 4.144 2.926
angles: 90.00 90.00 90.00
Space group P4/mmm (No. 123)
Inequivalent atoms, fractional coordinates:
Li (0.000, 0.000, 0.000)
Al (0.500, 0.500, 0.000)
Rh (0.000, 0.500, 0.500)



8.
Computed, not measured: a crystal of NaNb2Se relaxed with PBEsol at the SCAN level of DFT.

- ΔE_f (raw) (meV per atom) = 302
- N(E_F) (states/eV/f.u.) = 3.009

abc: 3.866 3.866 20.317
angles: 90.00 90.00 90.00
Space group I-42d (No. 122)
Inequivalent atoms, fractional coordinates:
Na (0.000, 0.000, 0.000)
Nb (0.224, 0.250, 0.625)
Se (0.000, 0.000, 0.500)



9.
Computed, not measured: a crystal of SiTe2Cl relaxed with PBEsol at the SCAN level of DFT.

- ΔE_f (raw) (meV per atom) = 32
- N(E_F) (states/eV/f.u.) = 3.118

abc: 3.7548 3.7548 23.7073
angles: 90.00 90.00 120.00
Space group R-3m (No. 166, hexagonal axes)
Inequivalent atoms, fractional coordinates:
Si (0.0000, 0.0000, 0.0000)
Te (0.0000, 0.0000, 0.2637)
Cl (0.0000, 0.0000, 0.5000)



10.
Computed, not measured: a crystal of OsOF5 relaxed with PBEsol at the SCAN level of DFT.

- ΔE_f (raw) (meV per atom) = -1589

abc: 9.427 5.029 8.669
angles: 90.00 90.00 90.00
Space group Pna2_1 (No. 33)
Inequivalent atoms, fractional coordinates:
Os (0.128, 0.077, 0.000)
O (0.228, 0.941, 0.859)
F (0.002, 0.249, 0.867)
F (0.002, 0.791, 0.014)
F (0.016, 0.227, 0.159)
F (0.232, 0.392, 0.014)
F (0.235, 0.936, 0.162)



11.
Computed, not measured: a crystal of Zn7P10 relaxed with PBEsol at the SCAN level of DFT.

- calculated total energy (eV per atom) = -11.892
- N(E_F) (states/eV/f.u.) = 0.000

abc: 21.405 25.824 4.308
angles: 90.00 90.00 90.00
Space group Fdd2 (No. 43)
Inequivalent atoms, fractional coordinates:
Zn (0.000, 0.000, 0.000)
Zn (0.000, 0.202, 0.465)
Zn (0.111, 0.289, 0.673)
Zn (0.119, 0.422, 0.273)
P (0.037, 0.138, 0.820)
P (0.042, 0.061, 0.638)
P (0.044, 0.441, 0.863)
P (0.049, 0.369, 0.598)
P (0.081, 0.248, 0.212)



12.
Computed, not measured: a crystal of Be4HgMo relaxed with PBEsol at the SCAN level of DFT.

- calculated total energy (eV per atom) = -19.852
- N(E_F) (states/eV/f.u.) = 2.646

abc: 6.427 6.427 6.427
angles: 90.00 90.00 90.00
Space group F-43m (No. 216)
Inequivalent atoms, fractional coordinates:
Be (0.120, 0.120, 0.120)
Hg (0.000, 0.000, 0.500)
Mo (0.250, 0.250, 0.750)



13.
Computed, not measured: a crystal of Sm2VFe16 relaxed with PBEsol at the SCAN level of DFT.

- calculated total energy (eV per atom) = -20.832
- N(E_F) (states/eV/f.u.) = 13.721

abc: 8.2371 8.2371 12.1420
angles: 90.00 90.00 120.00
Space group R3m (No. 160, hexagonal axes)
Inequivalent atoms, fractional coordinates:
Sm (0.0000, 0.0000, 0.0000)
Sm (0.0000, 0.0000, 0.3142)
V (0.0000, 0.0000, 0.7427)
Fe (0.0000, 0.0000, 0.5620)
Fe (0.0002, 0.2956, 0.6547)
Fe (0.0028, 0.5014, 0.4939)
Fe (0.1672, 0.3344, 0.4889)
Fe (0.1678, 0.3357, 0.1490)



14.
Computed, not measured: a crystal of K2TaNi relaxed with PBEsol at the SCAN level of DFT.

- calculated total energy (eV per atom) = -22.880
- N(E_F) (states/eV/f.u.) = 8.438

abc: 7.699 7.699 7.699
angles: 90.00 90.00 90.00
Space group Fm-3m (No. 225)
Inequivalent atoms, fractional coordinates:
K (0.250, 0.250, 0.250)
Ta (0.000, 0.000, 0.000)
Ni (0.000, 0.000, 0.500)



15.
Computed, not measured: a crystal of RbTl2Cd2 relaxed with PBEsol at the SCAN level of DFT.

- calculated total energy (eV per atom) = -45.302
- N(E_F) (states/eV/f.u.) = 1.975

abc: 9.411 9.411 3.258
angles: 90.00 90.00 90.00
Space group P4/mbm (No. 127)
Inequivalent atoms, fractional coordinates:
Rb (0.000, 0.000, 0.000)
Tl (0.141, 0.359, 0.000)
Cd (0.150, 0.650, 0.500)



16.
Computed, not measured: a crystal of FeTe2Rh relaxed with PBEsol at the SCAN level of DFT.

- ΔE_f (raw) (meV per atom) = 74
- N(E_F) (states/eV/f.u.) = 2.916

abc: 3.332 3.988 12.585
angles: 90.00 90.00 90.00
Space group Imm2 (No. 44)
Inequivalent atoms, fractional coordinates:
Fe (0.000, 0.000, 0.000)
Te (0.000, 0.000, 0.562)
Te (0.000, 0.500, 0.313)
Rh (0.000, 0.500, 0.884)



17.
Computed, not measured: a crystal of DyScO3 relaxed with PBEsol at the SCAN level of DFT.

- ΔE_f (raw) (meV per atom) = -3901
- N(E_F) (states/eV/f.u.) = 0.000

abc: 5.692 7.857 5.392
angles: 90.00 90.00 90.00
Space group Pnma (No. 62)
Inequivalent atoms, fractional coordinates:
Dy (0.064, 0.250, 0.021)
Sc (0.000, 0.000, 0.500)
O (0.057, 0.750, 0.369)
O (0.194, 0.569, 0.809)



18.
Computed, not measured: a crystal of Tl2CdHg2 relaxed with PBEsol at the SCAN level of DFT.

- calculated total energy (eV per atom) = -62.203
- N(E_F) (states/eV/f.u.) = 2.024

abc: 8.729 8.729 3.513
angles: 90.00 90.00 90.00
Space group P4/mbm (No. 127)
Inequivalent atoms, fractional coordinates:
Tl (0.162, 0.338, 0.000)
Cd (0.000, 0.000, 0.000)
Hg (0.137, 0.637, 0.500)



19.
Computed, not measured: a crystal of MgOs relaxed with PBEsol at the SCAN level of DFT.

- calculated total energy (eV per atom) = -38.142
- N(E_F) (states/eV/f.u.) = 1.054

abc: 2.724 10.862 4.150
angles: 90.00 90.00 90.00
Space group Cmcm (No. 63)
Inequivalent atoms, fractional coordinates:
Mg (0.000, 0.067, 0.250)
Os (0.000, 0.303, 0.250)



20.
Computed, not measured: a crystal of HfAs2HSe relaxed with PBEsol at the SCAN level of DFT.

- calculated total energy (eV per atom) = -25.252
- N(E_F) (states/eV/f.u.) = 1.611

abc: 3.886 3.886 5.197
angles: 90.00 90.00 90.00
Space group P4/mmm (No. 123)
Inequivalent atoms, fractional coordinates:
Hf (0.000, 0.000, 0.000)
As (0.000, 0.500, 0.500)
H (0.500, 0.500, 0.500)
Se (0.500, 0.500, 0.000)